Entry 1:
First-principles (SCAN) data for a crystal of ZnPdN2 relaxed with PBEsol, as listed in Alexandria.

Cell: 3.1172 3.1172 16.9684 Å, 90.00 90.00 120.00°
Closest atoms and distances in Å follow each position.
Space group R-3m (No. 166, hexagonal axes)
Inequivalent atoms, fractional coordinates:
Zn 0.0000 0.0000 0.0000  2 N 1.83
Pd 0.0000 0.0000 0.5000  6 N 2.06
N 0.0000 0.0000 0.1080  1 Zn 1.83

Summary:
V = 142.79 Å³/cell
E = -0.5754 Ha/atom

***

Entry 2:
First-principles (SCAN) data for a crystal of Zr4Pd2N relaxed with PBEsol, as listed in Alexandria.

Cell: 12.3764 12.3764 12.3764 Å, 90.00 90.00 90.00°
Closest atoms and distances in Å follow each position.
Space group Fd-3m (No. 227, origin choice 2)
Inequivalent atoms, fractional coordinates:
Zr 0.0000 0.0000 0.0000  6 Pd 2.72
Zr 0.0557 0.3750 0.8750  2 N 2.29
Pd 0.0360 0.0360 0.2140  6 Zr 2.72-2.83
N 0.0000 0.0000 0.5000  6 Zr 2.29

Summary:
V = 1895.74 Å³/cell
E = -1.0781 Ha/atom